(1)
Al2Zn5 | GGA-PBE | relaxed

abc: 8.864 8.864 2.945
angles: 90.00 90.00 90.00
Fractional positions:
Al 0.181 0.319 0.000
Al 0.319 0.819 0.000
Al 0.681 0.181 0.000
Al 0.819 0.681 0.000
Zn 0.000 0.500 0.500
Zn 0.060 0.796 0.500
Zn 0.204 0.060 0.500
Zn 0.296 0.560 0.500
Zn 0.440 0.296 0.500
Zn 0.500 0.000 0.500
Zn 0.560 0.704 0.500
Zn 0.704 0.440 0.500
Zn 0.796 0.940 0.500
Zn 0.940 0.204 0.500

***

(2)
NdHg2Pb2 | GGA-PBE | relaxed

abc: 12.497 12.497 4.673
angles: 90.00 90.00 157.65
Fractional positions:
Nd 0.138 0.862 0.750
Nd 0.862 0.138 0.250
Hg 0.043 0.957 0.250
Hg 0.455 0.545 0.250
Hg 0.545 0.455 0.750
Hg 0.957 0.043 0.750
Pb 0.249 0.751 0.250
Pb 0.357 0.643 0.750
Pb 0.643 0.357 0.250
Pb 0.751 0.249 0.750

***

Values of total DFT energy (no corrections), in order: -1.9133 -2.8370, all in eV per atom.
Values of formation energy, in order: 45 -135, all in kJ/mol of formula units.